{"formula": "CoHBrN", "functional": "PBE-GGA", "state": "optimized geometry", "sg": "Pm", "dft_energy_ev_per_cell": -19.85, "lattice_angstrom": [[4.2526, 0.0000, 0.0000], [0.0000, 3.3416, 0.0000], [-0.6648, 0.0000, 4.7849]], "species": ["Co", "H", "Br", "N"], "frac_coords": [[0.0000, 0.0000, 0.0000], [0.1969, 0.5000, 0.3076], [0.4584, 0.0000, 0.7820], [0.0301, 0.5000, 0.1280]]}